An optimized crystal structure of Fe3Pb4BrO8. Source: Alexandria, functional PBE with a Hubbard U.

abc: 3.9788 3.9788 15.9067
angles: 90.00 90.00 90.00
Space group P4/mmm (No. 123)
Asymmetric unit:
Fe1 0.0000 0.0000 0.0000 [1 per cell]
Fe2 0.0000 0.0000 0.2507 [2 per cell]
Pb1 0.5000 0.5000 0.1131 [2 per cell]
Pb2 0.5000 0.5000 0.3718 [2 per cell]
Br1 0.0000 0.0000 0.5000 [1 per cell]
O1 0.0000 0.0000 0.1319 [2 per cell]
O2 0.0000 0.5000 0.0000 [2 per cell]
O3 0.0000 0.5000 0.2831 [4 per cell]

Output
The calculation puts the calculated total energy at -5.806 eV per atom. Its total moment is 15.0 Bohr magnetons per cell. The calculated volume is 15.74 Å³/atom. The crystal system is tetragonal.